[1]
## BaEuSb (PBE)

Data for a relaxed structure of BaEuSb.

## Properties
Its formation energy (no corrections) is -0.720 eV per atom. The volume is 42.0 Å³ per atom. The crystal system is trigonal. For the excess energy over the best structure of this formula in the dataset, the calculation gives 0.0 kJ per mole of atoms.

```
3
Lattice="5.407 0.000 0.000 -2.704 4.683 0.000 0.000 0.000 4.971" Properties=species:S:1:pos:R:3 pbc="T T T"
Ba 0.000 0.000 0.000
Eu 2.704 1.561 2.484
Sb 0.000 3.122 2.494
```


[2]
## BaEu2Sb (PBE)

Data for a relaxed structure of BaEu2Sb.

## Properties
Its formation energy (no corrections) is -0.348 eV per atom. The volume is 34.2 Å³ per atom. The crystal system is cubic. For the excess energy over the best structure of this formula in the dataset, the calculation gives 14.6 kJ per mole of atoms.

```
4
Lattice="0.000 4.091 4.091 4.091 0.000 4.091 4.091 4.091 0.000" Properties=species:S:1:pos:R:3 pbc="T T T"
Ba 0.000 0.000 0.000
Eu 2.046 2.046 2.046
Eu 6.137 6.137 6.137
Sb 4.091 4.091 4.091
```


[3]
## BaEu2Sb (PBE)

Data for a relaxed structure of BaEu2Sb.

## Properties
Its formation energy (no corrections) is -0.493 eV per atom. The volume is 40.4 Å³ per atom. The crystal system is tetragonal. For the excess energy over the best structure of this formula in the dataset, the calculation gives 0.6 kJ per mole of atoms.

```
4
Lattice="4.245 0.000 0.000 0.000 4.245 0.000 0.000 0.000 8.961" Properties=species:S:1:pos:R:3 pbc="T T T"
Ba 0.000 0.000 0.000
Eu 2.123 2.123 2.891
Eu 2.123 2.123 6.070
Sb 0.000 0.000 4.481
```


[4]
## BaEuSb2 (PBE)

Data for a relaxed structure of BaEuSb2.

## Properties
Its formation energy (no corrections) is -0.893 eV per atom. The volume is 33.9 Å³ per atom. The crystal system is tetragonal. For the excess energy over the best structure of this formula in the dataset, the calculation gives 0.0 kJ per mole of atoms.

```
4
Lattice="4.321 0.000 0.000 0.000 4.321 0.000 0.000 0.000 7.268" Properties=species:S:1:pos:R:3 pbc="T T T"
Ba 0.000 0.000 0.000
Eu 0.000 0.000 3.634
Sb 2.160 2.160 2.072
Sb 2.160 2.160 5.196
```